No. 1
Cs3Pu2Br8: optimized geometry, GGA-PBE.

```
data_Cs3Pu2Br8
_chemical_formula_sum 'Cs9 Pu6 Br24'
_symmetry_space_group_name_H-M 'R -3 m'
_symmetry_Int_Tables_number 166
_symmetry_space_group_name_Hall '-R 3 2"'
_cell_length_a 8.4810
_cell_length_b 8.4810
_cell_length_c 30.6190
_cell_angle_alpha 90.00
_cell_angle_beta 90.00
_cell_angle_gamma 120.00
loop_
_atom_site_label
_atom_site_type_symbol
_atom_site_fract_x
_atom_site_fract_y
_atom_site_fract_z
Cs1 Cs 0.0000 0.0000 0.0000
Cs2 Cs 0.0000 0.0000 0.1990
Pu1 Pu 0.0000 0.0000 0.4050
Br1 Br 0.0000 0.0000 0.3140
Br2 Br 0.0240 0.5120 0.7695
```

Calculated values
For the excess energy over the best structure of this formula in the dataset, the calculation gives 0.009 eV per atom. Its calculated total energy is -195.65 eV per cell. For the raw formation energy, the calculation gives -1.59 eV/atom. For the mass density, the calculation gives 4.0 g cm⁻³.

=====

No. 2
Cs4PuBr6: optimized geometry, GGA-PBE.

```
data_Cs4PuBr6
_chemical_formula_sum 'Cs8 Pu2 Br12'
_symmetry_space_group_name_H-M 'P 4/m n c'
_symmetry_Int_Tables_number 128
_symmetry_space_group_name_Hall '-P 4 2n'
_cell_length_a 9.905
_cell_length_b 9.905
_cell_length_c 10.444
_cell_angle_alpha 90.00
_cell_angle_beta 90.00
_cell_angle_gamma 90.00
loop_
_atom_site_label
_atom_site_type_symbol
_atom_site_fract_x
_atom_site_fract_y
_atom_site_fract_z
Cs1 Cs 0.171 0.329 0.250
Pu1 Pu 0.000 0.000 0.000
Br1 Br 0.000 0.000 0.286
Br2 Br 0.093 0.706 0.000
```

Calculated values
Its calculated total energy is -92.18 eV per cell. For the raw formation energy, the calculation gives -1.66 eV/atom. For the mass density, the calculation gives 4.1 g cm⁻³.

=====

No. 3
CsPuBr5: optimized geometry, GGA-PBE.

```
data_CsPuBr5
_chemical_formula_sum 'Cs4 Pu4 Br20'
_symmetry_space_group_name_H-M 'C 1 2/c 1'
_symmetry_Int_Tables_number 15
_symmetry_space_group_name_Hall '-C 2yc'
_cell_length_a 14.480
_cell_length_b 8.008
_cell_length_c 11.469
_cell_angle_alpha 90.00
_cell_angle_beta 113.29
_cell_angle_gamma 90.00
loop_
_atom_site_label
_atom_site_type_symbol
_atom_site_fract_x
_atom_site_fract_y
_atom_site_fract_z
Cs1 Cs 0.000 0.000 0.250
Pu1 Pu 0.000 0.500 0.000
Br1 Br 0.000 0.491 0.250
Br2 Br 0.139 0.250 0.066
Br3 Br 0.145 0.261 0.576
```

Calculated values
Its calculated total energy is -134.84 eV per cell. For the raw formation energy, the calculation gives -1.45 eV/atom. For the mass density, the calculation gives 4.2 g cm⁻³.

=====

No. 4
CsPu4Br8: optimized geometry, GGA-PBE.

```
data_CsPu4Br8
_chemical_formula_sum 'Cs2 Pu8 Br16'
_symmetry_space_group_name_H-M 'P 63/m m c'
_symmetry_Int_Tables_number 194
_symmetry_space_group_name_Hall '-P 6c 2c'
_cell_length_a 8.0422
_cell_length_b 8.0422
_cell_length_c 18.9579
_cell_angle_alpha 90.00
_cell_angle_beta 90.00
_cell_angle_gamma 120.00
loop_
_atom_site_label
_atom_site_type_symbol
_atom_site_fract_x
_atom_site_fract_y
_atom_site_fract_z
Cs1 Cs 0.0000 0.0000 0.0000
Pu1 Pu 0.0000 0.0000 0.2500
Pu2 Pu 0.0136 0.5068 0.2500
Br1 Br 0.1674 0.3349 0.6497
Br2 Br 0.3333 0.6667 0.1446
```

Calculated values
For the excess energy over the best structure of this formula in the dataset, the calculation gives 0.000 eV per atom. Its calculated total energy is -178.56 eV per cell. For the raw formation energy, the calculation gives -1.36 eV/atom. For the mass density, the calculation gives 5.5 g cm⁻³.

=====

No. 5
CsPu4Br8: optimized geometry, GGA-PBE.

```
data_CsPu4Br8
_chemical_formula_sum 'Cs4 Pu16 Br32'
_symmetry_space_group_name_H-M 'F -4 3 m'
_symmetry_Int_Tables_number 216
_symmetry_space_group_name_Hall 'F -4 2 3'
_cell_length_a 12.772
_cell_length_b 12.772
_cell_length_c 12.772
_cell_angle_alpha 90.00
_cell_angle_beta 90.00
_cell_angle_gamma 90.00
loop_
_atom_site_label
_atom_site_type_symbol
_atom_site_fract_x
_atom_site_fract_y
_atom_site_fract_z
Cs1 Cs 0.000 0.000 0.000
Pu1 Pu 0.117 0.117 0.617
Br1 Br 0.118 0.118 0.382
Br2 Br 0.147 0.147 0.853
```

Calculated values
For the excess energy over the best structure of this formula in the dataset, the calculation gives 0.051 eV per atom. Its calculated total energy is -354.49 eV per cell. For the raw formation energy, the calculation gives -1.31 eV/atom. For the mass density, the calculation gives 5.6 g cm⁻³.

=====

No. 6
Cs3Pu6Br20: optimized geometry, GGA-PBE.

```
data_Cs3Pu6Br20
_chemical_formula_sum 'Cs12 Pu24 Br80'
_symmetry_space_group_name_H-M 'F m -3 m'
_symmetry_Int_Tables_number 225
_symmetry_space_group_name_Hall '-F 4 2 3'
_cell_length_a 15.450
_cell_length_b 15.450
_cell_length_c 15.450
_cell_angle_alpha 90.00
_cell_angle_beta 90.00
_cell_angle_gamma 90.00
loop_
_atom_site_label
_atom_site_type_symbol
_atom_site_fract_x
_atom_site_fract_y
_atom_site_fract_z
Cs1 Cs 0.000 0.000 0.000
Cs2 Cs 0.250 0.250 0.250
Pu1 Pu 0.000 0.000 0.267
Br1 Br 0.000 0.168 0.168
Br2 Br 0.114 0.114 0.386
```

Calculated values
Its calculated total energy is -667.03 eV per cell. For the raw formation energy, the calculation gives -1.54 eV/atom. For the mass density, the calculation gives 6.2 g cm⁻³.

=====

No. 7
Cs5Pu2Br12: optimized geometry, GGA-PBE.

```
data_Cs5Pu2Br12
_chemical_formula_sum 'Cs10 Pu4 Br24'
_symmetry_space_group_name_H-M 'C 1 2/m 1'
_symmetry_Int_Tables_number 12
_symmetry_space_group_name_Hall '-C 2y'
_cell_length_a 17.362
_cell_length_b 10.670
_cell_length_c 8.904
_cell_angle_alpha 90.00
_cell_angle_beta 102.01
_cell_angle_gamma 90.00
loop_
_atom_site_label
_atom_site_type_symbol
_atom_site_fract_x
_atom_site_fract_y
_atom_site_fract_z
Cs1 Cs 0.000 0.000 0.000
Cs2 Cs 0.136 0.500 0.013
Cs3 Cs 0.250 0.000 0.508
Pu1 Pu 0.000 0.249 0.500
Br1 Br 0.028 0.500 0.333
Br2 Br 0.070 0.000 0.653
Br3 Br 0.103 0.208 0.285
Br4 Br 0.150 0.292 0.710
```

Calculated values
Its calculated total energy is -165.95 eV per cell. For the raw formation energy, the calculation gives -1.58 eV/atom. For the mass density, the calculation gives 4.3 g cm⁻³.

=====

No. 8
Cs2RbPuBr5: optimized geometry, GGA-PBE.

```
data_Cs2RbPuBr5
_chemical_formula_sum 'Cs4 Rb2 Pu2 Br10'
_symmetry_space_group_name_H-M 'I m m m'
_symmetry_Int_Tables_number 71
_symmetry_space_group_name_Hall '-I 2 2'
_cell_length_a 5.761
_cell_length_b 8.256
_cell_length_c 17.526
_cell_angle_alpha 90.00
_cell_angle_beta 90.00
_cell_angle_gamma 90.00
loop_
_atom_site_label
_atom_site_type_symbol
_atom_site_fract_x
_atom_site_fract_y
_atom_site_fract_z
Cs1 Cs 0.000 0.000 0.206
Rb1 Rb 0.000 0.500 0.000
Pu1 Pu 0.000 0.500 0.500
Br1 Br 0.000 0.000 0.000
Br2 Br 0.000 0.248 0.377
```

Calculated values
Its calculated total energy is -79.82 eV per cell. For the raw formation energy, the calculation gives -1.62 eV/atom. For the mass density, the calculation gives 4.0 g cm⁻³.

=====

No. 9
CsRb2PuBr5: optimized geometry, GGA-PBE.

```
data_CsRb2PuBr5
_chemical_formula_sum 'Cs2 Rb4 Pu2 Br10'
_symmetry_space_group_name_H-M 'I m m m'
_symmetry_Int_Tables_number 71
_symmetry_space_group_name_Hall '-I 2 2'
_cell_length_a 5.749
_cell_length_b 8.250
_cell_length_c 16.778
_cell_angle_alpha 90.00
_cell_angle_beta 90.00
_cell_angle_gamma 90.00
loop_
_atom_site_label
_atom_site_type_symbol
_atom_site_fract_x
_atom_site_fract_y
_atom_site_fract_z
Cs1 Cs 0.000 0.000 0.000
Rb1 Rb 0.000 0.500 0.206
Pu1 Pu 0.000 0.000 0.500
Br1 Br 0.000 0.248 0.369
Br2 Br 0.000 0.500 0.000
```

Calculated values
Its calculated total energy is -80.14 eV per cell. For the raw formation energy, the calculation gives -1.62 eV/atom. For the mass density, the calculation gives 4.0 g cm⁻³.

=====

No. 10
Cs2RbPuBr8: optimized geometry, GGA-PBE.

```
data_Cs2RbPuBr8
_chemical_formula_sum 'Cs2 Rb1 Pu1 Br8'
_symmetry_space_group_name_H-M 'P -1'
_symmetry_Int_Tables_number 2
_symmetry_space_group_name_Hall '-P 1'
_cell_length_a 6.740
_cell_length_b 7.789
_cell_length_c 10.879
_cell_angle_alpha 89.95
_cell_angle_beta 90.00
_cell_angle_gamma 78.22
loop_
_atom_site_label
_atom_site_type_symbol
_atom_site_fract_x
_atom_site_fract_y
_atom_site_fract_z
Cs1 Cs 0.000 0.000 0.245
Rb1 Rb 0.500 0.500 0.500
Pu1 Pu 0.500 0.500 0.000
Br1 Br 0.010 0.290 0.500
Br2 Br 0.113 0.688 0.000
Br3 Br 0.422 0.279 0.185
Br4 Br 0.422 0.280 0.815
```

Calculated values
Its calculated total energy is -47.25 eV per cell. For the raw formation energy, the calculation gives -1.41 eV/atom. For the mass density, the calculation gives 3.7 g cm⁻³.

=====

No. 11
Cs3RbPu2Br9: optimized geometry, GGA-PBE.

```
data_Cs3RbPu2Br9
_chemical_formula_sum 'Cs3 Rb1 Pu2 Br9'
_symmetry_space_group_name_H-M 'P -3 m 1'
_symmetry_Int_Tables_number 164
_symmetry_space_group_name_Hall '-P 3 2"'
_cell_length_a 8.2905
_cell_length_b 8.2905
_cell_length_c 11.4551
_cell_angle_alpha 90.00
_cell_angle_beta 90.00
_cell_angle_gamma 120.00
loop_
_atom_site_label
_atom_site_type_symbol
_atom_site_fract_x
_atom_site_fract_y
_atom_site_fract_z
Cs1 Cs 0.0000 0.0000 0.0000
Cs2 Cs 0.3333 0.6667 0.7308
Rb1 Rb 0.0000 0.0000 0.5000
Pu1 Pu 0.3333 0.6667 0.1591
Br1 Br 0.0000 0.5000 0.0000
Br2 Br 0.1641 0.3283 0.2900
```

Calculated values
Its calculated total energy is -72.38 eV per cell. For the raw formation energy, the calculation gives -1.68 eV/atom. For the mass density, the calculation gives 4.1 g cm⁻³.

=====

No. 12
CsRb2PuBr6: optimized geometry, GGA-PBE.

```
data_CsRb2PuBr6
_chemical_formula_sum 'Cs2 Rb4 Pu2 Br12'
_symmetry_space_group_name_H-M 'P 1 21/c 1'
_symmetry_Int_Tables_number 14
_symmetry_space_group_name_Hall '-P 2ybc'
_cell_length_a 8.283
_cell_length_b 8.900
_cell_length_c 14.525
_cell_angle_alpha 90.00
_cell_angle_beta 124.57
_cell_angle_gamma 90.00
loop_
_atom_site_label
_atom_site_type_symbol
_atom_site_fract_x
_atom_site_fract_y
_atom_site_fract_z
Cs1 Cs 0.000 0.000 0.000
Rb1 Rb 0.281 0.078 0.749
Pu1 Pu 0.500 0.000 0.500
Br1 Br 0.143 0.066 0.284
Br2 Br 0.292 0.674 0.068
Br3 Br 0.425 0.228 0.080
```

Calculated values
Its calculated total energy is -88.20 eV per cell. For the raw formation energy, the calculation gives -1.69 eV/atom. For the mass density, the calculation gives 3.9 g cm⁻³.

=====

> Which of these has the highest mass density?

Cs3Pu6Br20

=====

> Among the records above, which one has the lowest mass density?

Cs2RbPuBr8

=====

> Which formula does entry 5 have?

CsPu4Br8